# Ca2LaNdMn4O12

Crystalline Ca2LaNdMn4O12 at its relaxed geometry (PBE+U, the Alexandria database).

Cell lengths 7.694, 5.465, 5.533 Å; angles 89.93, 90.00, 90.00 degrees
Positions (direct):
O  0.000  0.930  0.480
O  0.213  0.286  0.287
O  0.706  0.713  0.713
O  0.000  0.578  0.985
O  0.709  0.787  0.213
O  0.500  0.422  0.019
O  0.790  0.210  0.790
O  0.210  0.210  0.790
O  0.291  0.787  0.213
O  0.787  0.286  0.287
O  0.294  0.713  0.713
O  0.500  0.080  0.521
Mn  0.749  0.499  0.001
Mn  0.252  0.000  0.499
Mn  0.251  0.499  0.001
Mn  0.748  0.000  0.499
Nd  0.500  0.990  0.957
La  0.000  0.492  0.535
Ca  0.000  0.009  0.043
Ca  0.500  0.509  0.455

space-group type = Pm, No. 6
DFT total energy = -7.50 eV per atom
spin magnetization = 0.7000 μB per atom